Entry 1:
Entry from Alexandria via LeMat-Bulk: a relaxed Y8Ho3Tm4 crystal (PBE).

Cell and atoms, written as extended XYZ:
```
15
Lattice="-4.7436 1.5485 4.4773 -3.0846 -6.2117 -6.0813 5.6136 -6.5563 3.2534" Properties=species:S:1:pos:R:3 pbc="T T T"
Tm -1.5423 -3.1058 -3.0407
Tm 2.8068 -3.2782 1.6267
Tm -2.3718 0.7743 2.2386
Tm 0.0000 0.0000 0.0000
Y 0.5468 -3.2940 -0.6312
Y -0.2749 -8.6332 -0.0626
Y 2.5171 -6.4336 -0.0696
Y -2.7615 -7.9254 2.2806
Y 0.0118 -6.3344 -2.7583
Y -1.9398 -2.5863 1.7120
Y -3.2904 -5.5232 -1.5181
Y 1.0758 -5.6962 3.1675
Ho -1.1073 -5.6097 0.8247
Ho -3.9141 -2.3316 -0.8020
Ho 0.4350 -2.5039 3.8654
```

Results
Energy relative to the lowest polymorph listed for this composition in kJ per mole of atoms: 23.6
Energy relative to the elements in eV per atom: 0.413
Magnetic moment in μB/cell: 0.0

Entry 2:
Entry from Alexandria via LeMat-Bulk: a relaxed La12CeNd7 crystal (PBE).

Cell and atoms, written as extended XYZ:
```
20
Lattice="9.0826 0.4279 0.6423 -2.1144 8.8434 0.6423 -2.1144 -2.8133 8.4085" Properties=species:S:1:pos:R:3 pbc="T T T"
La -0.7628 -1.0152 5.6929
La -0.7805 5.6211 8.4374
La -0.4663 5.4039 4.8458
La 2.4277 6.2412 2.8398
La 5.3200 1.0541 4.8474
La 5.6164 7.4732 4.0003
La 5.6168 0.8134 8.4372
La 5.6342 0.8369 1.2558
La -0.7631 5.6446 1.2560
La 2.4260 0.2168 6.8534
La -0.4667 2.3923 6.8534
La 5.3204 4.0657 2.8397
Nd 2.2364 -0.0657 3.1962
Nd -0.6850 2.1293 3.1966
Nd 2.2357 2.9754 1.1704
Nd 2.6173 6.5237 6.4970
Nd 2.4268 3.2290 4.8466
Nd 5.5387 4.3287 6.4965
Nd 2.6179 3.4826 8.5228
Ce 0.0000 0.0000 0.0000
```

Results
Energy relative to the lowest polymorph listed for this composition in kJ per mole of atoms: 0.0
Energy relative to the elements in eV per atom: 0.082
Magnetic moment in μB/cell: 0.9

Entry 3:
Entry from Alexandria via LeMat-Bulk: a relaxed ScCdPb crystal (PBE).

Cell and atoms, written as extended XYZ:
```
12
Lattice="-4.3868 1.2974 -1.0558 -2.0947 -3.4122 4.5106 0.8253 8.0720 6.4897" Properties=species:S:1:pos:R:3 pbc="T T T"
Sc -0.5552 3.1076 6.1253
Sc 0.7458 7.2944 5.8645
Sc -1.8603 3.9070 2.0917
Sc -3.1613 -0.2798 2.3526
Pb -2.1181 1.3851 0.0642
Pb -2.9034 2.2423 4.3803
Pb 0.4879 4.7723 3.8368
Pb -0.2973 5.6295 8.1529
Cd -0.3173 1.1650 2.7502
Cd -1.3646 -0.5410 5.0054
Cd -2.0981 5.8495 5.4669
Cd -3.1455 4.1434 7.7222
```

Results
Energy relative to the elements in eV per atom: -0.172
Magnetic moment in μB/cell: 0.0

Entry 4:
Entry from Alexandria via LeMat-Bulk: a relaxed PrErGaNi crystal (PBE).

Cell and atoms, written as extended XYZ:
```
4
Lattice="-5.0190 -0.1291 -0.2203 -2.5837 -2.8640 3.2214 -2.7306 2.1423 3.6345" Properties=species:S:1:pos:R:3 pbc="T T T"
Ni -2.5833 -0.2127 1.6589
Ga -7.7500 -0.6380 4.9767
Er -5.1666 -0.4254 3.3178
Pr 0.0000 0.0000 0.0000
```

Results
Energy relative to the elements in eV per atom: -0.373
Magnetic moment in μB/cell: 0.0

Entry 5:
Entry from Alexandria via LeMat-Bulk: a relaxed ScTaSeBr2 crystal (PBE).

Cell and atoms, written as extended XYZ:
```
5
Lattice="-0.5291 5.1064 -0.3933 -2.7706 -0.6179 -4.2956 -4.2388 -0.2261 2.7665" Properties=species:S:1:pos:R:3 pbc="T T T"
Se -2.1194 -0.1131 1.3833
Sc -3.7693 2.1312 -0.9612
Br -1.3853 -0.3090 -2.1478
Br -0.2646 2.5532 -0.1967
Ta 0.0000 0.0000 0.0000
```

Results
Formation energy without anion corrections in kJ/mol of atoms: 3.2
Energy relative to the lowest polymorph listed for this composition in kJ per mole of atoms: 0.0
Magnetic moment in μB/cell: 2.4

Entry 6:
Entry from Alexandria via LeMat-Bulk: a relaxed CeZrHgBi crystal (PBE).

Cell and atoms, written as extended XYZ:
```
4
Lattice="5.2866 0.0000 0.0000 2.6433 4.5783 0.0000 2.6433 1.5261 4.3165" Properties=species:S:1:pos:R:3 pbc="T T T"
Hg 0.0000 0.0000 0.0000
Bi 5.2866 3.0522 2.1583
Ce 7.9299 4.5783 3.2374
Zr 2.6433 1.5261 1.0791
```

Results
Energy relative to the elements in eV per atom: -0.258
Magnetic moment in μB/cell: 2.5